Computed, not measured: a relaxed Ba2HoW3O12 crystal at the PBE+U level of DFT.

Cell lengths 7.370, 7.370, 7.370 Å; angles 61.42, 61.42, 61.42 degrees
Fractional positions:
1 O 0.703 0.703 0.075
2 W 0.000 0.500 0.000
3 O 0.098 0.098 0.628
4 O 0.703 0.075 0.703
5 O 0.297 0.297 0.925
6 W 0.000 0.000 0.500
7 O 0.925 0.297 0.297
8 O 0.902 0.902 0.372
9 O 0.098 0.628 0.098
10 O 0.628 0.098 0.098
11 Ba 0.353 0.353 0.353
12 Ho 0.000 0.000 0.000
13 O 0.075 0.703 0.703
14 Ba 0.647 0.647 0.647
15 O 0.902 0.372 0.902
16 O 0.297 0.925 0.297
17 O 0.372 0.902 0.902
18 W 0.500 0.000 0.000

Output
VASP energy = -7.417 eV per atom
symmetry = R-3m
theoretical density = 6.7 g/cm³